Material: TiZnAs3
Method: DFT, PBE
State: optimized geometry

Cell: 4.880 4.880 4.880 Å, 90.00 90.00 90.00°
Positions (direct):
Ti  0.000  0.000  0.000
As  0.500  0.000  0.000
As  0.000  0.000  0.500
Zn  0.500  0.500  0.500
As  0.000  0.500  0.000

Values from the calculation:
- ΔE to the lowest computed polymorph (meV/atom) = 0
- energy relative to the elements (kJ/mol of atoms) = 18.8
- D(E_F) (states/eV/cell) = 3.8

---

Material: EuTl2Ge
Method: DFT, PBE
State: optimized geometry

Cell: 4.983 4.612 4.612 Å, 90.00 90.00 90.00°
Each line ends with the local moment (μB).
Positions (direct):
Ge  0.500  0.000  0.000  -0.03
Eu  0.500  0.500  0.500  6.78
Tl  0.000  0.500  0.000  0.01
Tl  0.000  0.000  0.500  0.01

Values from the calculation:
- ΔE to the lowest computed polymorph (meV/atom) = 0
- energy relative to the elements (kJ/mol of atoms) = -25.0
- D(E_F) (states/eV/cell) = 4.8

---

Material: ZrAl3Rh
Method: DFT, PBE
State: optimized geometry

Cell: 6.290 6.290 6.290 Å, 90.00 90.00 90.00°
Positions (direct):
Al  0.786  0.786  0.786
Rh  0.000  0.500  0.000
Zr  0.000  0.500  0.500
Al  0.214  0.214  0.786
Al  0.786  0.214  0.786
Al  0.500  0.500  0.500
Al  0.786  0.214  0.214
Rh  0.000  0.000  0.500
Al  0.214  0.214  0.214
Al  0.214  0.786  0.214
Zr  0.500  0.000  0.500
Zr  0.500  0.500  0.000
Al  0.214  0.786  0.786
Al  0.786  0.786  0.214
Rh  0.500  0.000  0.000

Values from the calculation:
- ΔE to the lowest computed polymorph (meV/atom) = 0
- energy relative to the elements (kJ/mol of atoms) = -65.8
- D(E_F) (states/eV/cell) = 9.1

---

Material: SrLi2NbRe
Method: DFT, PBE
State: optimized geometry

Cell: 4.794 5.173 4.794 Å, 90.00 90.00 90.00°
Positions (direct):
Nb  0.500  0.500  0.500
Li  0.000  0.000  0.500
Sr  0.000  0.500  0.000
Li  0.500  0.000  0.000
Re  0.000  0.000  0.000

Values from the calculation:
- energy relative to the elements (kJ/mol of atoms) = 187.8
- D(E_F) (states/eV/cell) = 10.5